The following is a PBE-GGA calculation of a geometry-optimized Dy3Y12Ho structure, from the Alexandria database.

Unit cell a=5.0399 b=5.0399 c=20.1566 alpha=90.00 beta=90.00 gamma=90.00
Positions (direct):
Dy (0.0000, 0.0000, 0.0000)
Dy (0.0000, 0.0000, 0.2501)
Dy (0.0000, 0.0000, 0.7499)
Y (0.0000, 0.5000, 0.1251)
Y (0.0000, 0.5000, 0.3752)
Y (0.0000, 0.5000, 0.6248)
Y (0.0000, 0.5000, 0.8749)
Y (0.5000, 0.0000, 0.1251)
Y (0.5000, 0.0000, 0.3752)
Y (0.5000, 0.0000, 0.6248)
Y (0.5000, 0.0000, 0.8749)
Y (0.5000, 0.5000, 0.0000)
Y (0.5000, 0.5000, 0.2501)
Y (0.5000, 0.5000, 0.5000)
Y (0.5000, 0.5000, 0.7499)
Ho (0.0000, 0.0000, 0.5000)

Computed properties:
Formation energy ... 0.37 eV per formula unit
Energy ... -95.578 eV/cell
Total moment ... 0.0 μB/f.u.
Theoretical density ... 5.58 g/cm³